Below is a relaxed structure of KIr2WI, with properties calculated at the PBE level.

```
data_KIr2WI
_symmetry_space_group_name_H-M 'P 4/m m m'
_symmetry_Int_Tables_number 123
_symmetry_space_group_name_Hall '-P 4 2'
_cell_length_a 4.849
_cell_length_b 4.849
_cell_length_c 5.300
_cell_angle_alpha 90.00
_cell_angle_beta 90.00
_cell_angle_gamma 90.00
loop_
_atom_site_label
_atom_site_type_symbol
_atom_site_fract_x
_atom_site_fract_y
_atom_site_fract_z
K1 K 0.000 0.000 0.000
Ir1 Ir 0.000 0.500 0.000
W1 W 0.000 0.000 0.500
I1 I 0.500 0.500 0.500
```

The calculation puts the density of states at the Fermi level at 8.802 states/eV/cell. The calculated total energy comes out at -3.223 eV/atom.

***

Below is a relaxed structure of KYIr2I, with properties calculated at the PBE level.

```
data_KYIr2I
_symmetry_space_group_name_H-M 'P 4/m m m'
_symmetry_Int_Tables_number 123
_symmetry_space_group_name_Hall '-P 4 2'
_cell_length_a 5.082
_cell_length_b 5.082
_cell_length_c 5.495
_cell_angle_alpha 90.00
_cell_angle_beta 90.00
_cell_angle_gamma 90.00
loop_
_atom_site_label
_atom_site_type_symbol
_atom_site_fract_x
_atom_site_fract_y
_atom_site_fract_z
K1 K 0.000 0.000 0.000
Y1 Y 0.500 0.500 0.000
Ir1 Ir 0.000 0.500 0.500
I1 I 0.500 0.500 0.500
```

The calculation puts the density of states at the Fermi level at 5.483 states/eV/cell. The calculated total energy comes out at -4.339 eV/atom.

***

Below is a relaxed structure of KZn2IrI, with properties calculated at the PBE level.

```
data_KZn2IrI
_symmetry_space_group_name_H-M 'P 4/m m m'
_symmetry_Int_Tables_number 123
_symmetry_space_group_name_Hall '-P 4 2'
_cell_length_a 6.146
_cell_length_b 6.146
_cell_length_c 6.096
_cell_angle_alpha 90.00
_cell_angle_beta 90.00
_cell_angle_gamma 90.00
loop_
_atom_site_label
_atom_site_type_symbol
_atom_site_fract_x
_atom_site_fract_y
_atom_site_fract_z
K1 K 0.000 0.000 0.000
Zn1 Zn 0.000 0.500 0.000
Ir1 Ir 0.000 0.000 0.500
I1 I 0.500 0.500 0.500
```

The calculation puts the density of states at the Fermi level at 6.145 states/eV/cell. The calculated total energy comes out at -1.367 eV/atom.